This record from Alexandria via LeMat-Bulk describes BSbH after structural relaxation. The functional is PBE. Values from VASP.

Calculated values
As for the space-group type: P1, No. 1. The calculation puts the relative energy among the computed polymorphs at 0.1293 eV/atom.

Geometry as Quantum ESPRESSO input:
```
&SYSTEM
  ibrav = 0, nat = 6, ntyp = 3
/
ATOMIC_SPECIES
B 10.81 B.upf
Sb 121.76 Sb.upf
H 1.01 H.upf
CELL_PARAMETERS angstrom
4.316 0.000 0.000
-1.239 4.803 0.000
-1.816 -0.725 4.911
ATOMIC_POSITIONS angstrom
B 0.000 0.000 0.000
B -2.316 2.857 3.981
Sb 1.314 0.721 3.568
Sb 2.233 4.295 2.124
H 0.806 0.832 0.392
H -1.188 2.505 4.276
```